The following is a DFT calculation (GGA+U) of an optimized crystal structure of MoOsC2F.

a b c (Å): 3.9617 3.9617 5.1721
angles (deg): 90.00 90.00 90.00
With the nearest neighbours (Å) after each atom.
Fractional coordinates of all 5 atoms:
Mo (0.0000, 0.0000, 0.0000)  4 C 1.98
Os (0.0000, 0.0000, 0.5000)  2 Mo 2.59, 4 F 2.80
C (0.0000, 0.5000, 0.0000)  2 Mo 1.98
C (0.5000, 0.0000, 0.0000)  2 Mo 1.98
F (0.5000, 0.5000, 0.5000)  4 Os 2.80

Values from the calculation:
space group = P4/mmm
calculated total energy = -5.456 eV/atom